# La2YZn2Ga2 (PBE-GGA, optimized geometry)
data_La2YZn2Ga2
_cell_length_a 4.4730
_cell_length_b 4.4730
_cell_length_c 28.3880
_cell_angle_alpha 90.00
_cell_angle_beta 90.00
_cell_angle_gamma 120.00
_symmetry_space_group_name_H-M 'R -3 m'
_symmetry_Int_Tables_number 166
_symmetry_space_group_name_Hall '-R 3 2"'
loop_
_atom_site_label
_atom_site_fract_x
_atom_site_fract_y
_atom_site_fract_z
La1 0.0000 0.0000 0.1296
Y1 0.0000 0.0000 0.0000
Zn1 0.0000 0.0000 0.3935
Ga1 0.0000 0.0000 0.2688
# - uncorrected energy (eV per atom) = -3.99
# - spin magnetization (μB/cell) = 0.00
# - N(E_F) (states/eV per cell) = 15.3
# - calculated density (kg/m3) = 6451